Entry 1:
DFT (GGA-PBE) results for a relaxed structure of K2YCo.

a b c (Å): 3.672 3.923 10.874
angles (deg): 78.71 90.00 90.00
Atoms (fractional coordinates):
Co1 0.500 0.993 0.635
K1 0.000 0.840 0.930
K2 0.500 0.165 0.317
Y1 0.000 0.503 0.618

SG: Pm (6)
Calculated total energy in Ry per atom: -0.263
M_tot in Bohr magnetons per cell: 0.001
E above lowest polymorph in eV/f.u.: 0.00
Energy of formation from the pure elements in meV per atom: 359


Entry 2:
DFT (GGA-PBE) results for a relaxed structure of KYCo2.

a b c (Å): 9.405 9.405 9.405
angles (deg): 20.64 20.64 20.64
Last column: magnetic moment on the atom in μB.
Atoms (fractional coordinates):
Co1 0.012 0.012 0.012  1.37
Co2 0.488 0.488 0.488  1.37
K1 0.250 0.250 0.250  -0.02
Y1 0.750 0.750 0.750  -0.27

SG: R-3m (166)
Calculated total energy in Ry per atom: -0.340
M_tot in Bohr magnetons per cell: 2.112
E above lowest polymorph in eV/f.u.: 2.34
Energy of formation from the pure elements in meV per atom: 811


Entry 3:
DFT (GGA-PBE) results for a relaxed structure of K2YCo2.

a b c (Å): 6.892 6.892 6.015
angles (deg): 90.00 90.00 90.00
Last column: magnetic moment on the atom in μB.
Atoms (fractional coordinates):
Y1 0.000 0.000 0.000  -0.29
Y2 0.500 0.500 0.000  -0.29
K1 0.171 0.671 0.500  -0.02
K2 0.671 0.829 0.500  -0.02
K3 0.829 0.329 0.500  -0.02
K4 0.329 0.171 0.500  -0.02
Co1 0.388 0.888 0.000  1.40
Co2 0.888 0.612 0.000  1.47
Co3 0.612 0.112 0.000  1.40
Co4 0.112 0.388 0.000  1.47

SG: P4/mbm (127)
Calculated total energy in Ry per atom: -0.279
M_tot in Bohr magnetons per cell: 4.155
E above lowest polymorph in eV/f.u.: 0.09
Energy of formation from the pure elements in meV per atom: 775


Entry 4:
DFT (GGA-PBE) results for a relaxed structure of KYCo2.

a b c (Å): 3.891 3.891 8.593
angles (deg): 77.18 77.18 59.99
Last column: magnetic moment on the atom in μB.
Atoms (fractional coordinates):
Co1 0.033 0.033 0.902  0.93
Co2 0.699 0.699 0.902  0.93
K1 0.470 0.470 0.586  -0.01
Y1 0.298 0.298 0.110  -0.14

SG: Cm (8)
Calculated total energy in Ry per atom: -0.383
M_tot in Bohr magnetons per cell: 1.527
E above lowest polymorph in eV/f.u.: 0.00
Energy of formation from the pure elements in meV per atom: 227


Entry 5:
DFT (GGA-PBE) results for a relaxed structure of K2YCo.

a b c (Å): 3.651 3.651 11.141
angles (deg): 90.00 90.00 90.00
Last column: magnetic moment on the atom in μB.
Atoms (fractional coordinates):
Co1 0.500 0.500 0.693  0.96
K1 0.000 0.000 0.918  0.00
K2 0.500 0.500 0.291  0.00
Y1 0.000 0.000 0.598  -0.23

SG: P4mm (99)
Calculated total energy in Ry per atom: -0.262
M_tot in Bohr magnetons per cell: 0.529
E above lowest polymorph in eV/f.u.: 0.05
Energy of formation from the pure elements in meV per atom: 372


Entry 6:
DFT (GGA-PBE) results for a relaxed structure of K2YCo.

a b c (Å): 3.342 3.342 12.215
angles (deg): 90.00 90.00 90.00
Last column: magnetic moment on the atom in μB.
Atoms (fractional coordinates):
Co1 0.500 0.500 0.750  1.92
K1 0.000 0.000 0.951  -0.01
K2 0.000 0.000 0.549  -0.01
Y1 0.500 0.500 0.250  0.06

SG: P4/mmm (123)
Calculated total energy in Ry per atom: -0.217
M_tot in Bohr magnetons per cell: 1.868
E above lowest polymorph in eV/f.u.: 2.50
Energy of formation from the pure elements in meV per atom: 984


Entry 7:
DFT (GGA-PBE) results for a relaxed structure of K2YCo.

a b c (Å): 3.572 6.259 6.064
angles (deg): 90.00 90.00 90.00
Last column: magnetic moment on the atom in μB.
Atoms (fractional coordinates):
Co1 0.500 0.500 0.750  1.69
K1 0.000 0.000 0.987  -0.02
K2 0.000 0.000 0.513  -0.02
Y1 0.500 0.500 0.250  -0.35

SG: Pmmm (47)
Calculated total energy in Ry per atom: -0.217
M_tot in Bohr magnetons per cell: 0.678
E above lowest polymorph in eV/f.u.: 2.54
Energy of formation from the pure elements in meV per atom: 994


Entry 8:
DFT (GGA-PBE) results for a relaxed structure of KY2Co.

a b c (Å): 10.415 10.415 10.415
angles (deg): 22.00 22.00 22.00
Atoms (fractional coordinates):
Co1 0.250 0.250 0.250
K1 0.750 0.750 0.750
Y1 0.962 0.962 0.962
Y2 0.538 0.538 0.538

SG: R-3m (166)
Calculated total energy in Ry per atom: -0.385
M_tot in Bohr magnetons per cell: 0.000
Energy of formation from the pure elements in meV per atom: 50


Entry 9:
DFT (GGA-PBE) results for a relaxed structure of KYCo2.

a b c (Å): 7.508 7.508 7.508
angles (deg): 151.07 146.62 44.74
Last column: magnetic moment on the atom in μB.
Atoms (fractional coordinates):
Co1 0.890 0.890 0.000  1.29
Co2 0.810 0.310 0.500  1.13
K1 0.528 0.528 0.000  -0.01
Y1 0.272 0.772 0.500  -0.25

SG: Imm2 (44)
Calculated total energy in Ry per atom: -0.368
M_tot in Bohr magnetons per cell: 1.974
E above lowest polymorph in eV/f.u.: 0.85
Energy of formation from the pure elements in meV per atom: 438


Entry 10:
DFT (GGA-PBE) results for a relaxed structure of KYCo2.

a b c (Å): 3.296 3.292 8.871
angles (deg): 90.00 90.00 90.00
Last column: magnetic moment on the atom in μB.
Atoms (fractional coordinates):
Co1 0.000 0.000 0.067  1.47
Co2 0.500 0.500 0.142  1.50
K1 0.000 0.000 0.435  -0.01
Y1 0.500 0.500 0.856  -0.18

SG: P4mm (99)
Calculated total energy in Ry per atom: -0.370
M_tot in Bohr magnetons per cell: 2.580
E above lowest polymorph in eV/f.u.: 0.75
Energy of formation from the pure elements in meV per atom: 415


Entry 11:
DFT (GGA-PBE) results for a relaxed structure of KYCo2.

a b c (Å): 4.948 4.948 4.948
angles (deg): 60.00 60.00 60.00
Last column: magnetic moment on the atom in μB.
Atoms (fractional coordinates):
Y1 0.500 0.500 0.500  -0.33
K1 0.000 0.000 0.000  -0.03
Co1 0.250 0.250 0.250  1.46
Co2 0.750 0.750 0.750  1.46

SG: Fm-3m (225)
Calculated total energy in Ry per atom: -0.335
M_tot in Bohr magnetons per cell: 2.148
E above lowest polymorph in eV/f.u.: 2.66
Energy of formation from the pure elements in meV per atom: 892


Entry 12:
DFT (GGA-PBE) results for a relaxed structure of K2YCo.

a b c (Å): 6.991 6.991 3.600
angles (deg): 90.00 90.00 129.32
Last column: magnetic moment on the atom in μB.
Atoms (fractional coordinates):
Co1 0.000 0.500 0.500  1.70
K1 0.000 0.000 0.000  -0.02
K2 0.500 0.500 0.000  -0.02
Y1 0.500 0.000 0.500  -0.30

SG: Cmmm (65)
Calculated total energy in Ry per atom: -0.216
M_tot in Bohr magnetons per cell: 0.818
E above lowest polymorph in eV/f.u.: 2.57
Energy of formation from the pure elements in meV per atom: 1001


Entry 13:
DFT (GGA-PBE) results for a relaxed structure of KY2Co.

a b c (Å): 6.357 6.357 3.407
angles (deg): 76.59 76.59 114.77
Last column: magnetic moment on the atom in μB.
Atoms (fractional coordinates):
Co1 0.500 0.000 0.500  1.62
K1 0.000 0.500 0.500  -0.01
Y1 0.000 0.000 0.000  -0.13
Y2 0.500 0.500 0.000  -0.13

SG: C2/m (12)
Calculated total energy in Ry per atom: -0.326
M_tot in Bohr magnetons per cell: 0.962
Energy of formation from the pure elements in meV per atom: 841


Entry 14:
DFT (GGA-PBE) results for a relaxed structure of KY2Co.

a b c (Å): 7.956 7.956 7.978
angles (deg): 60.09 60.09 90.00
Atoms (fractional coordinates):
Y1 0.874 0.125 0.250
Y2 0.876 0.625 0.250
Y3 0.375 0.126 0.750
Y4 0.875 0.124 0.750
K1 0.500 0.500 0.000
K2 0.250 0.750 0.500
Co1 0.000 0.000 0.000
Co2 0.750 0.250 0.500

SG: I-42d (122)
Calculated total energy in Ry per atom: -0.350
M_tot in Bohr magnetons per cell: 0.000
Energy of formation from the pure elements in meV per atom: 527


Entry 15:
DFT (GGA-PBE) results for a relaxed structure of K2YCo.

a b c (Å): 7.310 7.310 3.944
angles (deg): 75.39 75.39 131.24
Last column: magnetic moment on the atom in μB.
Atoms (fractional coordinates):
Co1 0.000 0.500 0.500  1.50
K1 0.000 0.000 0.000  -0.01
K2 0.500 0.500 0.000  -0.01
Y1 0.500 0.000 0.500  -0.23

SG: C2/m (12)
Calculated total energy in Ry per atom: -0.226
M_tot in Bohr magnetons per cell: 0.796
E above lowest polymorph in eV/f.u.: 2.04
Energy of formation from the pure elements in meV per atom: 870